1.
TaCo3 PBE optimized geometry; energy relative to the elements = 513 meV/atom; crystal system = hexagonal
1.0
5.026 0.000 0.000
-2.513 4.352 0.000
0.000 0.000 15.027
Ta Co
6 18
Direct
0.165 0.329 0.250
0.165 0.835 0.250
0.329 0.165 0.750
0.671 0.835 0.250
0.835 0.165 0.750
0.835 0.671 0.750
0.000 0.000 0.086
0.000 0.000 0.414
0.000 0.000 0.586
0.000 0.000 0.914
0.000 0.500 0.000
0.000 0.500 0.500
0.333 0.667 0.115
0.333 0.667 0.385
0.333 0.667 0.650
0.333 0.667 0.850
0.500 0.000 0.000
0.500 0.000 0.500
0.500 0.500 0.000
0.500 0.500 0.500
0.667 0.333 0.150
0.667 0.333 0.350
0.667 0.333 0.615
0.667 0.333 0.885

=====

2.
Ta11Co4 PBE optimized geometry; energy relative to the elements = -115 meV/atom; crystal system = tetragonal
1.0
9.703 0.000 0.000
0.000 9.703 0.000
0.000 0.000 5.133
Ta Co
22 8
Direct
0.000 0.000 0.000
0.035 0.372 0.500
0.103 0.103 0.500
0.128 0.535 0.000
0.188 0.812 0.253
0.188 0.812 0.747
0.312 0.312 0.247
0.312 0.312 0.753
0.372 0.035 0.500
0.397 0.603 0.000
0.465 0.872 0.000
0.500 0.500 0.500
0.535 0.128 0.000
0.603 0.397 0.000
0.628 0.965 0.500
0.688 0.688 0.247
0.688 0.688 0.753
0.812 0.188 0.253
0.812 0.188 0.747
0.872 0.465 0.000
0.897 0.897 0.500
0.965 0.628 0.500
0.066 0.257 0.000
0.243 0.566 0.500
0.257 0.066 0.000
0.434 0.757 0.500
0.566 0.243 0.500
0.743 0.934 0.000
0.757 0.434 0.500
0.934 0.743 0.000

=====

3.
TaCo14 PBE optimized geometry; energy relative to the elements = 92 meV/atom; crystal system = tetragonal
1.0
8.697 0.000 0.000
0.000 8.697 0.000
0.000 0.000 4.530
Ta Co
2 28
Direct
0.000 0.000 0.000
0.500 0.500 0.500
0.039 0.368 0.500
0.067 0.271 0.000
0.106 0.106 0.500
0.132 0.539 0.000
0.189 0.811 0.251
0.189 0.811 0.749
0.229 0.567 0.500
0.271 0.067 0.000
0.311 0.311 0.249
0.311 0.311 0.751
0.368 0.039 0.500
0.394 0.606 0.000
0.433 0.771 0.500
0.461 0.868 0.000
0.539 0.132 0.000
0.567 0.229 0.500
0.606 0.394 0.000
0.632 0.961 0.500
0.689 0.689 0.249
0.689 0.689 0.751
0.729 0.933 0.000
0.771 0.433 0.500
0.811 0.189 0.251
0.811 0.189 0.749
0.868 0.461 0.000
0.894 0.894 0.500
0.933 0.729 0.000
0.961 0.632 0.500

=====

4.
Ta7Co5 PBE optimized geometry; distance to the lowest polymorph of the same formula = 0.0 kJ/mol of atoms; energy relative to the elements = 31 meV/atom; crystal system = hexagonal
1.0
5.078 0.000 0.000
-2.539 4.397 0.000
0.000 0.000 16.120
Ta Co
14 10
Direct
0.000 0.000 0.085
0.000 0.000 0.415
0.000 0.000 0.585
0.000 0.000 0.915
0.166 0.331 0.250
0.166 0.834 0.250
0.331 0.166 0.750
0.333 0.667 0.641
0.333 0.667 0.859
0.667 0.333 0.141
0.667 0.333 0.359
0.669 0.834 0.250
0.834 0.166 0.750
0.834 0.669 0.750
0.000 0.500 0.000
0.000 0.500 0.500
0.333 0.667 0.118
0.333 0.667 0.382
0.500 0.000 0.000
0.500 0.000 0.500
0.500 0.500 0.000
0.500 0.500 0.500
0.667 0.333 0.618
0.667 0.333 0.882

=====

5.
Ta7Co5 PBE optimized geometry; distance to the lowest polymorph of the same formula = 26.1 kJ/mol of atoms; energy relative to the elements = 302 meV/atom; crystal system = hexagonal
1.0
5.200 0.000 0.000
-2.600 4.503 0.000
0.000 0.000 16.330
Ta Co
14 10
Direct
0.000 0.000 0.103
0.000 0.000 0.397
0.000 0.000 0.603
0.000 0.000 0.897
0.000 0.500 0.000
0.000 0.500 0.500
0.333 0.667 0.146
0.333 0.667 0.354
0.500 0.000 0.000
0.500 0.000 0.500
0.500 0.500 0.000
0.500 0.500 0.500
0.667 0.333 0.646
0.667 0.333 0.854
0.146 0.292 0.250
0.146 0.854 0.250
0.292 0.146 0.750
0.333 0.667 0.657
0.333 0.667 0.843
0.667 0.333 0.157
0.667 0.333 0.343
0.708 0.854 0.250
0.854 0.146 0.750
0.854 0.708 0.750

=====

6.
TbTaCo PBE optimized geometry; energy relative to the elements = 366 meV/atom; crystal system = cubic
1.0
0.000 3.127 3.127
3.127 0.000 3.127
3.127 3.127 0.000
Tb Ta Co
1 1 1
Direct
0.000 0.000 0.000
0.500 0.500 0.500
0.750 0.750 0.750

=====

7.
TaCo2Tc PBE optimized geometry; energy relative to the elements = 55 meV/atom; crystal system = cubic
1.0
0.000 3.013 3.013
3.013 0.000 3.013
3.013 3.013 0.000
Ta Co Tc
1 2 1
Direct
0.000 0.000 0.000
0.250 0.250 0.250
0.500 0.500 0.500
0.750 0.750 0.750

=====

8.
TaCoTc2 PBE optimized geometry; energy relative to the elements = 33 meV/atom; crystal system = cubic
1.0
0.000 3.087 3.087
3.087 0.000 3.087
3.087 3.087 0.000
Ta Co Tc
1 1 2
Direct
0.000 0.000 0.000
0.250 0.250 0.250
0.500 0.500 0.500
0.750 0.750 0.750

=====

9.
TaTlCoTc PBE optimized geometry; distance to the lowest polymorph of the same formula = 0.0 kJ/mol of atoms; crystal system = cubic
1.0
0.000 3.178 3.178
3.178 0.000 3.178
3.178 3.178 0.000
Ta Tl Co Tc
1 1 1 1
Direct
0.000 0.000 0.000
0.500 0.500 0.500
0.750 0.750 0.750
0.250 0.250 0.250

=====

10.
TaTlCoTc PBE optimized geometry; distance to the lowest polymorph of the same formula = 35.5 kJ/mol of atoms; crystal system = cubic
1.0
0.000 3.219 3.219
3.219 0.000 3.219
3.219 3.219 0.000
Ta Tl Co Tc
1 1 1 1
Direct
0.000 0.000 0.000
0.250 0.250 0.250
0.500 0.500 0.500
0.750 0.750 0.750

=====

11.
TaCoTe PBE optimized geometry; distance to the lowest polymorph of the same formula = 24.0 kJ/mol of atoms; crystal system = cubic
1.0
0.000 3.119 3.119
3.119 0.000 3.119
3.119 3.119 0.000
Ta Co Te
1 1 1
Direct
0.000 0.000 0.000
0.750 0.750 0.750
0.250 0.250 0.250

=====

12.
TaCo2Te2 PBE optimized geometry; electronic total energy = -271.598 eV for the cell shown; crystal system = orthorhombic
1.0
18.155 0.000 0.000
0.000 6.560 0.000
0.000 0.000 6.529
Ta Co Te
8 16 16
Direct
0.224 0.250 0.151
0.236 0.750 0.151
0.264 0.250 0.651
0.276 0.750 0.651
0.724 0.250 0.349
0.736 0.750 0.349
0.764 0.250 0.849
0.776 0.750 0.849
0.182 0.535 0.455
0.182 0.536 0.846
0.182 0.964 0.846
0.182 0.965 0.455
0.318 0.035 0.955
0.318 0.036 0.346
0.318 0.464 0.346
0.318 0.465 0.955
0.682 0.535 0.045
0.682 0.536 0.654
0.682 0.964 0.654
0.682 0.965 0.045
0.818 0.035 0.545
0.818 0.036 0.154
0.818 0.464 0.154
0.818 0.465 0.545
0.090 0.750 0.649
0.095 0.502 0.151
0.095 0.998 0.151
0.109 0.250 0.653
0.391 0.750 0.153
0.405 0.002 0.651
0.405 0.498 0.651
0.410 0.250 0.149
0.590 0.750 0.851
0.595 0.502 0.349
0.595 0.998 0.349
0.609 0.250 0.847
0.891 0.750 0.347
0.905 0.002 0.849
0.905 0.498 0.849
0.910 0.250 0.351

=====

13.
TaTl2Co PBE optimized geometry; electronic total energy = -20.134 eV for the cell shown; crystal system = cubic
1.0
0.000 3.385 3.385
3.385 0.000 3.385
3.385 3.385 0.000
Ta Tl Co
1 2 1
Direct
0.000 0.000 0.000
0.250 0.250 0.250
0.500 0.500 0.500
0.750 0.750 0.750

=====

14.
TaTlCo PBE optimized geometry; electronic total energy = -18.209 eV for the cell shown; crystal system = cubic
1.0
0.000 3.130 3.130
3.130 0.000 3.130
3.130 3.130 0.000
Ta Tl Co
1 1 1
Direct
0.000 0.000 0.000
0.250 0.250 0.250
0.750 0.750 0.750

=====

15.
YTaTlCo PBE optimized geometry; distance to the lowest polymorph of the same formula = 0.0 kJ/mol of atoms; crystal system = cubic
1.0
0.000 3.401 3.401
3.401 0.000 3.401
3.401 3.401 0.000
Y Ta Tl Co
1 1 1 1
Direct
0.000 0.000 0.000
0.750 0.750 0.750
0.250 0.250 0.250
0.500 0.500 0.500

=====

16.
ZrTaTlCo PBE optimized geometry; distance to the lowest polymorph of the same formula = 0.0 kJ/mol of atoms; crystal system = cubic
1.0
0.000 3.339 3.339
3.339 0.000 3.339
3.339 3.339 0.000
Zr Ta Tl Co
1 1 1 1
Direct
0.000 0.000 0.000
0.750 0.750 0.750
0.250 0.250 0.250
0.500 0.500 0.500

=====

17.
TmTaCo PBE optimized geometry; energy relative to the elements = 1477 meV/atom; crystal system = cubic
1.0
0.000 3.115 3.115
3.115 0.000 3.115
3.115 3.115 0.000
Tm Ta Co
1 1 1
Direct
0.000 0.000 0.000
0.250 0.250 0.250
0.750 0.750 0.750

=====

18.
UTaCo PBE optimized geometry; distance to the lowest polymorph of the same formula = 50.2 kJ/mol of atoms; energy relative to the elements = 1012 meV/atom; crystal system = cubic
1.0
0.000 3.073 3.073
3.073 0.000 3.073
3.073 3.073 0.000
U Ta Co
1 1 1
Direct
0.000 0.000 0.000
0.250 0.250 0.250
0.750 0.750 0.750

=====

19.
UTaCo PBE optimized geometry; distance to the lowest polymorph of the same formula = 0.0 kJ/mol of atoms; energy relative to the elements = 492 meV/atom; crystal system = cubic
1.0
0.000 3.063 3.063
3.063 0.000 3.063
3.063 3.063 0.000
U Ta Co
1 1 1
Direct
0.000 0.000 0.000
0.500 0.500 0.500
0.750 0.750 0.750

=====

20.
TaZnCo2 PBE optimized geometry; energy relative to the elements = -102 meV/atom; crystal system = hexagonal
1.0
4.010 0.000 0.000
-2.005 3.473 0.000
0.000 0.000 7.666
Ta Zn Co
2 2 4
Direct
0.333 0.667 0.250
0.667 0.333 0.750
0.000 0.000 0.000
0.000 0.000 0.500
0.333 0.667 0.594
0.333 0.667 0.906
0.667 0.333 0.094
0.667 0.333 0.406

=====

How do the records compare in calculated density? In the order shown, they have 10.84, 15.30, 9.75, 14.41, 13.56, 10.83, 12.05, 12.31, 14.03, 13.50, 10.06, 9.47, 13.88, 12.03, 11.25, 11.94, 11.23, 13.67, 13.81, 11.33 g/cm³.